Computed, not measured: a geometry-optimized HfTl2Ga structure at the GGA-PBE level of DFT.

It has space group I-42d (No. 122), with a = 7.970 Å, b = 7.970 Å, c = 6.023 Å, α = 90.00°, β = 90.00° and γ = 90.00°. Symmetry generates all atoms from Hf at (0.000, 0.000, 0.000), Tl at (0.230, 0.250, 0.625) and Ga at (0.000, 0.000, 0.500).

The calculation puts the volume at 382.6 Å³ per cell. The density comes out at 11.41 g/cm³. As for the energy above the lowest structure with this stoichiometry: 0.0 kJ/mol of atoms. The value obtained for the total energy is -65.57 eV per cell. As for the calculated formation energy: 0.33 eV/atom.